[1]
Crystalline BaZr3C at its relaxed geometry. Source: Alexandria via LeMat-Bulk, functional PBE-GGA.

## Properties
For the energy relative to the lowest polymorph listed for this composition, the calculation gives 2.780 eV per atom. The calculated volume comes out at 29.03 Å³/atom. As for the energy relative to the elements: 297 kJ per mole of atoms.

Lattice parameters (Å, degrees): 5.256 5.256 5.256 90.00 90.00 90.00
Each line ends with the local moment (μB).
Element x y z (fractional)
1 Ba 0.000 0.000 0.000  0.04
2 C 0.500 0.500 0.500  -0.20
3 Zr 0.500 0.000 0.000  0.53
4 Zr 0.000 0.000 0.500  0.27
5 Zr 0.000 0.500 0.000  0.42



[2]
Crystalline BaZrC2 at its relaxed geometry. Source: Alexandria via LeMat-Bulk, functional PBE-GGA.

## Properties
For the energy relative to the lowest polymorph listed for this composition, the calculation gives 0.000 eV per atom. The calculated volume comes out at 23.14 Å³/atom. As for the energy relative to the elements: 59 kJ per mole of atoms.

Lattice parameters (Å, degrees): 5.907 5.907 6.752 64.06 64.06 90.00
Element x y z (fractional)
1 C 0.526 0.125 0.250
2 Zr 0.250 0.750 0.500
3 C 0.875 0.776 0.750
4 C 0.224 0.625 0.250
5 Ba 0.750 0.250 0.500
6 C 0.375 0.474 0.750
7 Zr 0.500 0.500 0.000
8 Ba 0.000 0.000 0.000



[3]
Crystalline BaCa4 at its relaxed geometry. Source: Alexandria via LeMat-Bulk, functional PBE-GGA.

## Properties
For the energy relative to the lowest polymorph listed for this composition, the calculation gives 0.000 eV per atom. The calculated volume comes out at 45.92 Å³/atom. As for the energy relative to the elements: 3 kJ per mole of atoms.

Lattice parameters (Å, degrees): 6.947 6.947 6.947 99.80 99.80 131.26
Element x y z (fractional)
1 Ca 0.196 0.595 0.790
2 Ca 0.804 0.405 0.210
3 Ca 0.595 0.804 0.399
4 Ca 0.405 0.196 0.601
5 Ba 0.000 0.000 0.000



[4]
Crystalline Ba6Ca5 at its relaxed geometry. Source: Alexandria via LeMat-Bulk, functional PBE-GGA.

## Properties
The calculated volume comes out at 54.17 Å³/atom. As for the energy relative to the elements: 8 kJ per mole of atoms.

Lattice parameters (Å, degrees): 13.083 10.265 6.678 71.16 59.55 50.41
Element x y z (fractional)
1 Ba 0.959 0.690 0.195
2 Ca 0.228 0.543 0.500
3 Ba 0.649 0.310 0.195
4 Ca 0.500 0.000 0.500
5 Ba 0.193 0.000 0.308
6 Ca 0.371 0.258 0.000
7 Ca 0.772 0.457 0.500
8 Ba 0.351 0.690 0.805
9 Ca 0.629 0.742 0.000
10 Ba 0.041 0.310 0.805
11 Ba 0.807 0.000 0.692



[5]
Crystalline Ba2Ca3 at its relaxed geometry. Source: Alexandria via LeMat-Bulk, functional PBE-GGA.

## Properties
For the energy relative to the lowest polymorph listed for this composition, the calculation gives 0.217 eV per atom. The calculated volume comes out at 58.37 Å³/atom. As for the energy relative to the elements: 29 kJ per mole of atoms.

Lattice parameters (Å, degrees): 6.455 6.455 8.088 90.00 90.00 120.00
Element x y z (fractional)
1 Ca 0.000 0.000 0.000
2 Ba 0.333 0.667 0.850
3 Ba 0.667 0.333 0.150
4 Ca 0.667 0.333 0.648
5 Ca 0.333 0.667 0.352



[6]
Crystalline Ba3Ca at its relaxed geometry. Source: Alexandria via LeMat-Bulk, functional PBE-GGA.

## Properties
For the energy relative to the lowest polymorph listed for this composition, the calculation gives 0.017 eV per atom. The calculated volume comes out at 58.29 Å³/atom. As for the energy relative to the elements: 4 kJ per mole of atoms.

Lattice parameters (Å, degrees): 13.193 13.193 13.193 153.19 153.19 38.28
Element x y z (fractional)
1 Ba 0.000 0.500 0.500
2 Ba 0.124 0.124 0.000
3 Ba 0.500 0.000 0.500
4 Ca 0.626 0.626 0.000
5 Ca 0.374 0.374 0.000
6 Ba 0.750 0.250 0.500
7 Ba 0.876 0.876 0.000
8 Ba 0.250 0.750 0.500